1.
! GGA-PBE K2TlCd3Pb4, relaxed; values from VASP
! calculated volume: 335.2 Å³ per cell
! E_form: -85 meV/atom
&SYSTEM
  ibrav = 0, nat = 10, ntyp = 4
/
ATOMIC_SPECIES
Pb 207.20 Pb.upf
K 39.10 K.upf
Cd 112.41 Cd.upf
Tl 204.38 Tl.upf
CELL_PARAMETERS angstrom
-3.744 -2.600 -2.164
1.024 -3.947 2.971
-8.411 4.606 9.020
ATOMIC_POSITIONS angstrom
Pb 0.000 0.000 0.000
Pb -1.360 -3.274 0.404
Pb -2.525 -0.311 4.742
Pb -7.246 1.643 4.681
K -5.792 1.479 8.246
K -3.979 -0.146 1.178
Cd -4.206 2.303 4.510
Cd -0.652 -1.336 2.734
Cd -9.119 2.669 6.689
Tl -5.565 -0.971 4.914


2.
! GGA-PBE K2Tl3CdPb4, relaxed; values from VASP
! calculated volume: 356.0 Å³ per cell
! E_form: -50 meV/atom
&SYSTEM
  ibrav = 0, nat = 10, ntyp = 4
/
ATOMIC_SPECIES
K 39.10 K.upf
Tl 204.38 Tl.upf
Cd 112.41 Cd.upf
Pb 207.20 Pb.upf
CELL_PARAMETERS angstrom
5.003 0.000 0.000
0.000 5.003 0.000
0.000 0.000 14.225
ATOMIC_POSITIONS angstrom
K 0.000 2.501 10.548
K 2.501 0.000 3.677
Tl 0.000 0.000 7.113
Tl 2.501 0.000 12.134
Tl 0.000 2.501 2.092
Cd 2.501 2.501 7.113
Pb 2.501 0.000 8.977
Pb 0.000 2.501 5.248
Pb 0.000 0.000 0.000
Pb 2.501 2.501 0.000


3.
! GGA-PBE KCd3Pd, relaxed; values from VASP
! calculated volume: 727.9 Å³ per cell
! E_form: -34 meV/atom
&SYSTEM
  ibrav = 0, nat = 20, ntyp = 3
/
ATOMIC_SPECIES
Cd 112.41 Cd.upf
K 39.10 K.upf
Pd 106.42 Pd.upf
CELL_PARAMETERS angstrom
0.000 7.140 7.140
7.140 0.000 7.140
7.140 7.140 0.000
ATOMIC_POSITIONS angstrom
Cd 8.114 10.709 10.709
Cd 7.140 7.140 9.735
Cd 10.709 8.114 10.709
Cd 7.140 9.735 7.140
Cd 10.709 13.305 10.709
Cd 13.305 10.709 10.709
Cd 9.735 7.140 7.140
Cd 7.140 4.544 7.140
Cd 4.544 7.140 7.140
Cd 10.709 10.709 13.305
Cd 7.140 7.140 4.544
Cd 10.709 10.709 8.114
K 5.355 1.785 5.355
K 1.785 1.785 1.785
K 1.785 5.355 5.355
K 5.355 5.355 1.785
Pd 5.355 5.355 8.925
Pd 8.925 5.355 5.355
Pd 5.355 8.925 5.355
Pd 8.925 8.925 8.925


4.
! GGA-PBE KCd2Pd, relaxed; values from VASP
! calculated volume: 413.2 Å³ per cell
! E_form: -142 meV/atom
&SYSTEM
  ibrav = 0, nat = 16, ntyp = 3
/
ATOMIC_SPECIES
Cd 112.41 Cd.upf
Pd 106.42 Pd.upf
K 39.10 K.upf
CELL_PARAMETERS angstrom
4.906 0.000 0.000
0.000 7.541 0.000
0.000 0.000 11.169
ATOMIC_POSITIONS angstrom
Cd 3.680 4.103 6.890
Cd 1.227 6.210 5.905
Cd 1.227 7.208 1.306
Cd 3.680 5.101 0.321
Cd 1.227 2.439 10.849
Cd 3.680 0.333 9.864
Cd 3.680 1.331 5.264
Cd 1.227 3.438 4.279
Pd 3.680 3.070 9.559
Pd 3.680 6.840 7.195
Pd 1.227 4.471 1.610
Pd 1.227 0.700 3.975
K 3.680 2.079 1.991
K 1.227 5.462 9.178
K 3.680 5.849 3.593
K 1.227 1.691 7.576


5.
! GGA-PBE KCd3Pd, relaxed; values from VASP
! calculated volume: 314.6 Å³ per cell
! E_form: -85 meV/atom
&SYSTEM
  ibrav = 0, nat = 10, ntyp = 3
/
ATOMIC_SPECIES
Cd 112.41 Cd.upf
Pd 106.42 Pd.upf
K 39.10 K.upf
CELL_PARAMETERS angstrom
5.890 0.000 0.000
0.000 5.890 0.000
2.945 2.945 9.067
ATOMIC_POSITIONS angstrom
Cd 2.945 2.945 4.067
Cd 4.388 5.890 2.263
Cd 1.502 5.890 2.263
Cd 5.890 5.890 5.000
Cd 2.945 4.448 6.803
Cd 2.945 7.333 6.803
Pd 0.000 0.000 0.000
Pd 2.945 5.890 4.533
K 5.890 2.945 7.863
K 5.890 2.945 1.204


6.
! GGA-PBE KCd3Pd, relaxed; values from VASP
! calculated volume: 274.8 Å³ per cell
! E_form: -72 meV/atom
&SYSTEM
  ibrav = 0, nat = 10, ntyp = 3
/
ATOMIC_SPECIES
Cd 112.41 Cd.upf
Pd 106.42 Pd.upf
K 39.10 K.upf
CELL_PARAMETERS angstrom
3.991 -6.362 0.000
3.991 6.362 0.000
0.000 0.000 5.412
ATOMIC_POSITIONS angstrom
Cd 0.000 0.000 0.000
Cd 5.372 3.240 4.059
Cd 0.000 0.000 2.706
Cd 2.610 -3.240 1.353
Cd 5.372 -3.240 1.353
Cd 2.610 3.240 4.059
Pd 3.991 -3.978 4.059
Pd 3.991 3.978 1.353
K 3.991 0.870 1.353
K 3.991 -0.870 4.059


7.
! GGA-PBE KCd4Pd, relaxed; values from VASP
! calculated volume: 305.3 Å³ per cell
! E_form: -161 meV/atom
&SYSTEM
  ibrav = 0, nat = 12, ntyp = 3
/
ATOMIC_SPECIES
Cd 112.41 Cd.upf
Pd 106.42 Pd.upf
K 39.10 K.upf
CELL_PARAMETERS angstrom
4.493 0.000 0.000
0.000 7.876 0.000
0.000 0.000 8.627
ATOMIC_POSITIONS angstrom
Cd 2.246 0.253 2.157
Cd 0.000 0.000 4.313
Cd 2.246 2.490 4.877
Cd 2.246 5.386 3.749
Cd 2.246 2.490 8.063
Cd 2.246 5.386 0.564
Cd 0.000 0.000 0.000
Cd 2.246 7.623 6.470
Pd 0.000 1.616 6.470
Pd 0.000 6.261 2.157
K 0.000 3.030 2.157
K 0.000 4.847 6.470


8.
! GGA-PBE K2CdPd, relaxed; values from VASP
! calculated volume: 240.8 Å³ per cell
! E_form: 310 meV/atom
&SYSTEM
  ibrav = 0, nat = 8, ntyp = 3
/
ATOMIC_SPECIES
Cd 112.41 Cd.upf
Pd 106.42 Pd.upf
K 39.10 K.upf
CELL_PARAMETERS angstrom
-1.513 -0.223 4.303
4.184 -1.166 1.411
3.938 10.454 4.351
ATOMIC_POSITIONS angstrom
Cd 0.000 0.000 0.000
Cd 1.880 4.768 5.755
Pd 4.729 4.297 4.309
Pd 1.335 -0.695 2.857
K 4.015 7.303 5.426
K 0.583 2.332 3.893
K 5.232 6.642 8.243
K 3.389 1.854 2.568


9.
! GGA-PBE KCd3Pd, relaxed; values from VASP
! calculated volume: 230.6 Å³ per cell
! E_form: 991 meV/atom
&SYSTEM
  ibrav = 0, nat = 5, ntyp = 3
/
ATOMIC_SPECIES
Pd 106.42 Pd.upf
K 39.10 K.upf
Cd 112.41 Cd.upf
CELL_PARAMETERS angstrom
-5.425 2.812 0.521
-0.526 -2.078 5.746
2.811 5.038 2.079
ATOMIC_POSITIONS angstrom
Pd -1.570 2.886 4.172
K 0.000 0.000 0.000
Cd 1.405 2.519 1.039
Cd -2.712 1.406 0.260
Cd -0.263 -1.039 2.873


10.
! GGA-PBE KCd3Pd, relaxed; values from VASP
! calculated volume: 278.3 Å³ per cell
! E_form: -139 meV/atom
&SYSTEM
  ibrav = 0, nat = 10, ntyp = 3
/
ATOMIC_SPECIES
Cd 112.41 Cd.upf
K 39.10 K.upf
Pd 106.42 Pd.upf
CELL_PARAMETERS angstrom
4.319 0.000 5.744
-2.159 3.740 5.744
-2.159 -3.740 5.744
ATOMIC_POSITIONS angstrom
Cd -1.805 0.000 7.315
Cd 1.805 0.000 9.917
Cd 0.902 -1.563 7.315
Cd -0.902 1.563 9.917
Cd 0.902 1.563 7.315
Cd -0.902 -1.563 9.917
K 0.000 0.000 1.704
K 0.000 0.000 15.529
Pd 0.000 0.000 5.181
Pd 0.000 0.000 12.052


11.
! GGA-PBE KCd12Pd4, relaxed; values from VASP
! calculated volume: 443.6 Å³ per cell
! E_form: -22 meV/atom
&SYSTEM
  ibrav = 0, nat = 17, ntyp = 3
/
ATOMIC_SPECIES
Pd 106.42 Pd.upf
Cd 112.41 Cd.upf
K 39.10 K.upf
CELL_PARAMETERS angstrom
8.321 0.000 0.000
-2.774 7.846 0.000
-2.774 -3.923 6.794
ATOMIC_POSITIONS angstrom
Pd -1.387 -1.961 3.397
Pd 4.161 0.000 0.000
Pd 1.387 1.961 3.397
Pd -1.387 3.923 0.000
Cd -0.069 3.979 4.441
Cd 2.705 5.779 1.128
Cd -2.705 1.912 5.569
Cd -1.000 0.707 3.482
Cd 4.547 -1.261 4.441
Cd -1.773 5.184 2.354
Cd 1.773 0.554 5.666
Cd 0.069 -1.856 5.666
Cd 2.843 -0.056 2.354
Cd 3.774 3.215 3.312
Cd 1.000 3.369 1.128
Cd 5.478 2.010 1.225
K 0.000 0.000 0.000


12.
! GGA-PBE KCd2Pd, relaxed; values from VASP
! calculated volume: 285.5 Å³ per cell
! E_form: -16 meV/atom
&SYSTEM
  ibrav = 0, nat = 8, ntyp = 3
/
ATOMIC_SPECIES
Cd 112.41 Cd.upf
Pd 106.42 Pd.upf
K 39.10 K.upf
CELL_PARAMETERS angstrom
-1.798 5.277 0.418
-4.957 -1.524 -2.086
-6.410 0.173 7.614
ATOMIC_POSITIONS angstrom
Cd -3.793 4.463 2.008
Cd -6.277 3.714 0.966
Cd -6.108 1.916 5.604
Cd -6.994 4.558 5.819
Pd -5.793 3.663 3.599
Pd 0.000 0.000 0.000
K -3.378 1.876 -0.834
K -7.372 0.262 2.347


13.
! GGA-PBE KCdPd2, relaxed; values from VASP
! calculated volume: 238.9 Å³ per cell
! E_form: 97 meV/atom
&SYSTEM
  ibrav = 0, nat = 8, ntyp = 3
/
ATOMIC_SPECIES
Cd 112.41 Cd.upf
Pd 106.42 Pd.upf
K 39.10 K.upf
CELL_PARAMETERS angstrom
5.058 0.000 0.000
0.000 5.058 0.000
2.529 2.529 9.339
ATOMIC_POSITIONS angstrom
Cd 5.058 2.529 4.670
Cd 0.000 0.000 0.000
Pd 4.703 1.264 2.335
Pd 5.413 3.793 2.335
Pd 3.793 2.884 7.005
Pd 6.322 2.174 7.005
K 2.529 2.529 0.000
K 2.529 5.058 4.670


14.
! GGA-PBE KCd3Pd, relaxed; values from VASP
! calculated volume: 149.2 Å³ per cell
! E_form: -193 meV/atom
&SYSTEM
  ibrav = 0, nat = 5, ntyp = 3
/
ATOMIC_SPECIES
Cd 112.41 Cd.upf
Pd 106.42 Pd.upf
K 39.10 K.upf
CELL_PARAMETERS angstrom
-3.106 1.596 3.991
-4.294 -1.369 -2.795
0.189 -4.868 2.095
ATOMIC_POSITIONS angstrom
Cd -2.147 -0.685 -1.397
Cd 0.095 -2.434 1.047
Cd -1.553 0.798 1.995
Pd 0.000 0.000 0.000
K -3.606 -2.321 1.646


15.
! GGA-PBE K2Cd6Pd, relaxed; values from VASP
! calculated volume: 242.7 Å³ per cell
! E_form: -108 meV/atom
&SYSTEM
  ibrav = 0, nat = 9, ntyp = 3
/
ATOMIC_SPECIES
Cd 112.41 Cd.upf
K 39.10 K.upf
Pd 106.42 Pd.upf
CELL_PARAMETERS angstrom
6.326 -0.028 -0.016
0.037 6.657 0.009
0.037 3.324 5.768
ATOMIC_POSITIONS angstrom
Cd 4.348 1.705 0.987
Cd 2.053 8.248 4.773
Cd 4.362 3.302 3.771
Cd 2.038 6.651 1.989
Cd 4.362 4.915 0.984
Cd 2.038 5.038 4.776
K 1.044 3.328 1.926
K 5.356 6.625 3.834
Pd 0.000 0.000 0.000


16.
! GGA-PBE KCd2Pd, relaxed; values from VASP
! calculated volume: 209.4 Å³ per cell
! E_form: -194 meV/atom
&SYSTEM
  ibrav = 0, nat = 8, ntyp = 3
/
ATOMIC_SPECIES
Cd 112.41 Cd.upf
Pd 106.42 Pd.upf
K 39.10 K.upf
CELL_PARAMETERS angstrom
5.589 0.000 -2.174
-0.400 7.480 -1.029
-1.180 1.442 5.239
ATOMIC_POSITIONS angstrom
Cd 0.734 1.269 1.887
Cd 3.275 7.653 0.149
Cd 1.318 6.629 3.388
Cd 2.691 2.294 -1.352
Pd 1.374 0.000 -0.535
Pd 4.214 0.000 -1.639
K 0.244 5.067 0.626
K 3.765 3.855 1.410


17.
! GGA-PBE KCd6Pd, relaxed; values from VASP
! calculated volume: 211.2 Å³ per cell
! E_form: -116 meV/atom
&SYSTEM
  ibrav = 0, nat = 8, ntyp = 3
/
ATOMIC_SPECIES
Cd 112.41 Cd.upf
K 39.10 K.upf
Pd 106.42 Pd.upf
CELL_PARAMETERS angstrom
4.587 0.000 0.000
0.000 4.587 0.000
0.000 0.000 10.037
ATOMIC_POSITIONS angstrom
Cd 0.000 2.294 6.606
Cd 2.294 2.294 1.449
Cd 2.294 2.294 8.588
Cd 0.000 2.294 3.431
Cd 2.294 0.000 6.606
Cd 2.294 0.000 3.431
K 0.000 0.000 0.000
Pd 0.000 0.000 5.018


18.
! GGA-PBE KCd3Pd, relaxed; values from VASP
! calculated volume: 271.6 Å³ per cell
! E_form: -115 meV/atom
&SYSTEM
  ibrav = 0, nat = 10, ntyp = 3
/
ATOMIC_SPECIES
Cd 112.41 Cd.upf
Pd 106.42 Pd.upf
K 39.10 K.upf
CELL_PARAMETERS angstrom
-4.396 -4.079 16.709
-5.007 -2.977 4.206
4.659 -1.239 -5.327
ATOMIC_POSITIONS angstrom
Cd -4.684 -4.313 9.133
Cd 0.892 -1.950 -1.485
Cd -5.635 -6.345 17.074
Cd -3.027 -5.182 11.891
Cd -1.717 -3.113 3.698
Cd -0.059 -3.982 6.456
Pd 3.348 -1.828 -2.705
Pd -8.091 -6.467 18.294
K -6.410 -5.447 13.936
K 1.667 -2.848 1.653


19.
! GGA-PBE KCd3Pd, relaxed; values from VASP
! calculated volume: 245.9 Å³ per cell
! E_form: -63 meV/atom
&SYSTEM
  ibrav = 0, nat = 10, ntyp = 3
/
ATOMIC_SPECIES
Cd 112.41 Cd.upf
Pd 106.42 Pd.upf
K 39.10 K.upf
CELL_PARAMETERS angstrom
-3.191 2.797 2.871
4.039 -2.299 2.157
6.009 8.792 -1.884
ATOMIC_POSITIONS angstrom
Cd 2.592 6.033 1.576
Cd 4.507 6.594 -1.413
Cd 4.860 9.351 0.865
Cd 1.997 -0.061 2.280
Cd 4.265 3.257 1.569
Cd 1.502 2.198 -0.471
Pd 3.005 4.396 -0.942
Pd 0.000 0.000 0.000
K 6.136 5.994 0.982
K 0.721 3.296 2.162


20.
! GGA-PBE KCdPd2, relaxed; values from VASP
! calculated volume: 86.5 Å³ per cell
! E_form: -94 meV/atom
&SYSTEM
  ibrav = 0, nat = 4, ntyp = 3
/
ATOMIC_SPECIES
Pd 106.42 Pd.upf
K 39.10 K.upf
Cd 112.41 Cd.upf
CELL_PARAMETERS angstrom
3.274 0.000 0.000
0.000 3.274 0.000
0.000 0.000 8.067
ATOMIC_POSITIONS angstrom
Pd 0.000 0.000 6.492
Pd 0.000 0.000 1.575
K 1.637 1.637 4.033
Cd 1.637 1.637 0.000